(1)
DFT (PBE) results for a geometry-optimized Dy2Cd3Pb3 structure.

a = 4.6554 Å, b = 4.9206 Å, c = 9.0505 Å
α = 90.00°, β = 90.00°, γ = 90.00°
Last column: nearest neighbours and their distance in Å.
Atoms (fractional coordinates):
Cd  0.5000  0.5000  0.2623  2 Cd 3.17, 6 Pb 3.27-3.42, 4 Dy 3.39
Cd  0.0000  0.5000  0.5000  4 Cd 3.17, 4 Dy 3.35, 4 Pb 3.39
Cd  0.5000  0.5000  0.7377  2 Cd 3.17, 6 Pb 3.27-3.42, 4 Dy 3.39
Dy  0.0000  0.0000  0.2488  6 Pb 3.24-3.34, 6 Cd 3.35-3.39
Dy  0.0000  0.0000  0.7512  6 Pb 3.24-3.34, 6 Cd 3.35-3.39
Pb  0.5000  0.0000  0.0000  4 Dy 3.24, 4 Pb 3.39, 4 Cd 3.42
Pb  0.0000  0.5000  0.0000  4 Cd 3.32, 4 Dy 3.34, 4 Pb 3.39
Pb  0.5000  0.0000  0.5000  4 Dy 3.25, 8 Cd 3.27-3.39

Results
space group: No. 47
total energy: -3.1959 eV/atom


(2)
DFT (PBE) results for a geometry-optimized CdHgNO structure.

a = 5.7174 Å, b = 6.0821 Å, c = 7.7209 Å
α = 90.00°, β = 90.00°, γ = 90.00°
Last column: nearest neighbours and their distance in Å.
Atoms (fractional coordinates):
Cd  0.9881  0.0786  0.1250  3 N 2.17-2.21, 1 O 2.19
Cd  0.4881  0.4214  0.1250  3 N 2.17-2.21, 1 O 2.19
Cd  0.9881  0.5786  0.8750  3 N 2.17-2.21, 1 O 2.19
Cd  0.4881  0.9214  0.8750  3 N 2.17-2.21, 1 O 2.19
Hg  0.0215  0.5543  0.3635  1 N 2.13, 2 O 2.19-2.35
Hg  0.5215  0.9457  0.3635  1 N 2.13, 2 O 2.19-2.35
Hg  0.0215  0.0543  0.6365  1 N 2.13, 2 O 2.19-2.35
Hg  0.5215  0.4457  0.6365  1 N 2.13, 2 O 2.19-2.35
N  0.6022  0.0760  0.1143  1 Hg 2.13, 3 Cd 2.17-2.21
N  0.1022  0.4240  0.1143  1 Hg 2.13, 3 Cd 2.17-2.21
N  0.6022  0.5760  0.8857  1 Hg 2.13, 3 Cd 2.17-2.21
N  0.1022  0.9240  0.8857  1 Hg 2.13, 3 Cd 2.17-2.21
O  0.5906  0.5658  0.3738  2 Hg 2.19-2.35, 1 Cd 2.19
O  0.0906  0.9342  0.3738  2 Hg 2.19-2.35, 1 Cd 2.19
O  0.5906  0.0658  0.6262  2 Hg 2.19-2.35, 1 Cd 2.19
O  0.0906  0.4342  0.6262  2 Hg 2.19-2.35, 1 Cd 2.19

Results
space group: No. 29
relative energy among the computed polymorphs: 82 meV per atom
total energy: -3.1948 eV/atom


(3)
DFT (PBE) results for a geometry-optimized NaTcAuSe3 structure.

a = 10.9280 Å, b = 3.6640 Å, c = 13.8156 Å
α = 90.00°, β = 90.00°, γ = 90.00°
Last column: nearest neighbours and their distance in Å.
Atoms (fractional coordinates):
Au  0.7656  0.2500  0.1782  2 Se 2.49-2.51
Au  0.2656  0.2500  0.3218  2 Se 2.49-2.51
Au  0.7344  0.7500  0.6782  2 Se 2.49-2.51
Au  0.2344  0.7500  0.8218  2 Se 2.49-2.51
Na  0.7681  0.7500  0.0049  3 Se 2.99-3.30, 2 Au 3.01
Na  0.2681  0.7500  0.4951  3 Se 2.99-3.30, 2 Au 3.01
Na  0.7319  0.2500  0.5049  3 Se 2.99-3.30, 2 Au 3.01
Na  0.2319  0.2500  0.9951  3 Se 2.99-3.30, 2 Au 3.01
Se  0.5480  0.2500  0.1242  1 Au 2.49, 2 Tc 2.53
Se  0.9898  0.2500  0.1375  1 Au 2.51, 2 Tc 2.57
Se  0.2699  0.7500  0.1631  1 Tc 2.38
Se  0.7699  0.7500  0.3369  1 Tc 2.38
Se  0.4898  0.2500  0.3625  1 Au 2.51, 2 Tc 2.57
Se  0.0480  0.2500  0.3758  1 Au 2.49, 2 Tc 2.53
Se  0.9520  0.7500  0.6242  1 Au 2.49, 2 Tc 2.53
Se  0.5102  0.7500  0.6375  1 Au 2.51, 2 Tc 2.57
Se  0.2301  0.2500  0.6631  1 Tc 2.38
Se  0.7301  0.2500  0.8369  1 Tc 2.38
Se  0.0102  0.7500  0.8625  1 Au 2.51, 2 Tc 2.57
Se  0.4520  0.7500  0.8758  1 Au 2.49, 2 Tc 2.53
Tc  0.4687  0.7500  0.2332  5 Se 2.38-2.57
Tc  0.9687  0.7500  0.2668  5 Se 2.38-2.57
Tc  0.0313  0.2500  0.7332  5 Se 2.38-2.57
Tc  0.5313  0.2500  0.7668  5 Se 2.38-2.57

Results
space group: No. 62
relative energy among the computed polymorphs: 44 meV per atom
total energy: -4.5075 eV/atom


(4)
DFT (PBE) results for a geometry-optimized Er3Si4Pd structure.

a = 5.6630 Å, b = 3.7904 Å, c = 7.3618 Å
α = 90.00°, β = 95.59°, γ = 90.00°
Last column: nearest neighbours and their distance in Å.
Atoms (fractional coordinates):
Er  0.8412  0.5000  0.3049  6 Si 2.84-3.05
Er  0.1201  0.0000  0.6690  7 Si 2.91-3.10
Er  0.6364  0.5000  0.8255  7 Si 2.84-3.16
Pd  0.3252  0.0000  0.2140  6 Si 2.52-2.73
Si  0.9260  0.0000  0.0311  2 Si 2.42, 1 Pd 2.52
Si  0.3528  0.5000  0.4459  2 Si 2.47, 2 Pd 2.55
Si  0.6206  0.0000  0.5304  2 Si 2.47, 1 Pd 2.73
Si  0.1777  0.5000  0.9793  2 Si 2.42, 2 Pd 2.64

Results
space group: No. 6
total energy: -5.7435 eV/atom


(5)
DFT (PBE) results for a geometry-optimized Hf3AlIn2PdPt2 structure.

a = 3.5935 Å, b = 7.4160 Å, c = 7.4160 Å
α = 120.74°, β = 90.00°, γ = 90.00°
Last column: nearest neighbours and their distance in Å.
Atoms (fractional coordinates):
Al  0.0000  0.2636  0.2636  2 Pd 2.52, 2 Pt 2.65
Hf  0.5000  0.4038  0.0105  4 Pt 2.77-3.03, 1 Pd 2.87, 2 In 3.08
Hf  0.5000  0.0105  0.4038  4 Pt 2.77-3.03, 1 Pd 2.87, 2 In 3.08
Hf  0.5000  0.5881  0.5881  4 Pt 2.84, 2 Al 2.98
In  0.0000  0.9992  0.7358  2 Pd 2.72, 2 Pt 2.81-2.82
In  0.0000  0.7358  0.9992  2 Pd 2.72, 2 Pt 2.81-2.82
Pd  0.5000  0.0229  0.0229  2 Al 2.52, 4 In 2.72
Pt  0.0000  0.6490  0.3271  1 Al 2.65, 4 Hf 2.77-2.84, 2 In 2.81-2.82
Pt  0.0000  0.3271  0.6490  1 Al 2.65, 4 Hf 2.77-2.84, 2 In 2.81-2.82

Results
space group: No. 38
total energy: -7.0548 eV/atom


(6)
DFT (PBE) results for a geometry-optimized Na2GaCuF7 structure.

a = 7.0604 Å, b = 7.0604 Å, c = 12.5749 Å
α = 106.49°, β = 106.49°, γ = 60.87°
Last column: nearest neighbours and their distance in Å.
Atoms (fractional coordinates):
Cu  0.0000  0.0000  0.0000  6 F 1.89-2.10
Cu  0.5000  0.0000  0.0000  6 F 1.90-2.04
Cu  0.0000  0.0000  0.5000  6 F 1.89-2.10
Cu  0.0000  0.5000  0.5000  6 F 1.90-2.04
F  0.7177  0.6944  0.0376  1 Ga 1.89, 1 Cu 2.04
F  0.1158  0.7081  0.0402  1 Ga 1.90, 1 Cu 1.97
F  0.2968  0.9532  0.0485  2 Cu 1.89-1.90
F  0.0917  0.4838  0.1583  1 Ga 1.93
F  0.5847  0.0956  0.1622  1 Ga 1.90, 1 Cu 1.97
F  0.5916  0.4999  0.1721  1 Ga 1.89, 1 Na 2.08
F  0.9879  0.1052  0.1727  1 Ga 1.92, 1 Cu 2.10
F  0.8948  0.0121  0.3273  1 Ga 1.92, 1 Cu 2.10
F  0.5001  0.4084  0.3279  1 Ga 1.89, 1 Na 2.08
F  0.9044  0.4153  0.3378  1 Ga 1.90, 1 Cu 1.97
F  0.5162  0.9083  0.3417  1 Ga 1.93
F  0.0468  0.7032  0.4515  2 Cu 1.89-1.90
F  0.2919  0.8842  0.4598  1 Ga 1.90, 1 Cu 1.97
F  0.3056  0.2823  0.4624  1 Ga 1.89, 1 Cu 2.04
F  0.6944  0.7177  0.5376  1 Ga 1.89, 1 Cu 2.04
F  0.7081  0.1158  0.5402  1 Ga 1.90, 1 Cu 1.97
F  0.9532  0.2968  0.5485  2 Cu 1.89-1.90
F  0.4838  0.0917  0.6583  1 Ga 1.93
F  0.0956  0.5847  0.6622  1 Ga 1.90, 1 Cu 1.97
F  0.4999  0.5916  0.6721  1 Ga 1.89, 1 Na 2.08
F  0.1052  0.9879  0.6727  1 Ga 1.92, 1 Cu 2.10
F  0.0121  0.8948  0.8273  1 Ga 1.92, 1 Cu 2.10
F  0.4084  0.5001  0.8279  1 Ga 1.89, 1 Na 2.08
F  0.4153  0.9044  0.8378  1 Ga 1.90, 1 Cu 1.97
F  0.9083  0.5162  0.8417  1 Ga 1.93
F  0.7032  0.0468  0.9515  2 Cu 1.89-1.90
F  0.8842  0.2919  0.9598  1 Ga 1.90, 1 Cu 1.97
F  0.2823  0.3056  0.9624  1 Ga 1.89, 1 Cu 2.04
Ga  0.0000  0.5000  0.0000  6 F 1.89-1.93
Ga  0.7411  0.2589  0.2500  6 F 1.89-1.92
Ga  0.5000  0.0000  0.5000  6 F 1.89-1.93
Ga  0.2589  0.7411  0.7500  6 F 1.89-1.92
Na  0.5000  0.5000  0.0000  2 F 2.08
Na  0.7869  0.7200  0.2437  6 F 2.21-2.47
Na  0.2614  0.7386  0.2500  8 F 2.40-2.62
Na  0.2800  0.2131  0.2563  6 F 2.21-2.47
Na  0.5000  0.5000  0.5000  2 F 2.08
Na  0.7200  0.7869  0.7437  6 F 2.21-2.47
Na  0.7386  0.2614  0.7500  8 F 2.40-2.62
Na  0.2131  0.2800  0.7563  6 F 2.21-2.47

Results
space group: No. 15
relative energy among the computed polymorphs: 0 meV per atom
total energy: -4.4138 eV/atom


(7)
DFT (PBE) results for a geometry-optimized KGaNi structure.

a = 4.6666 Å, b = 4.6666 Å, c = 4.6666 Å
α = 60.00°, β = 60.00°, γ = 60.00°
Last column: nearest neighbours and their distance in Å.
Atoms (fractional coordinates):
Ga  0.2500  0.2500  0.2500  4 Ni 2.86
K  0.7500  0.7500  0.7500  4 Ni 2.86
Ni  0.0000  0.0000  0.0000  4 Ga 2.86, 4 K 2.86

Results
space group: No. 216
relative energy among the computed polymorphs: 0 meV per atom
total energy: -2.6997 eV/atom


(8)
DFT (PBE) results for a geometry-optimized Lu4SnB3 structure.

a = 3.4871 Å, b = 3.4871 Å, c = 29.9041 Å
α = 90.00°, β = 90.00°, γ = 120.00°
Last column: nearest neighbours and their distance in Å.
Atoms (fractional coordinates):
B  0.0000  0.0000  0.0000  6 Lu 2.61
B  0.6667  0.3333  0.1131  6 Lu 2.51-2.65
B  0.6667  0.3333  0.3869  6 Lu 2.51-2.65
B  0.0000  0.0000  0.5000  6 Lu 2.61
B  0.3333  0.6667  0.6131  6 Lu 2.51-2.65
B  0.3333  0.6667  0.8869  6 Lu 2.51-2.65
Lu  0.3333  0.6667  0.0555  6 B 2.61-2.65
Lu  0.0000  0.0000  0.1632  3 B 2.51
Lu  0.0000  0.0000  0.3368  3 B 2.51
Lu  0.3333  0.6667  0.4445  6 B 2.61-2.65
Lu  0.6667  0.3333  0.5555  6 B 2.61-2.65
Lu  0.0000  0.0000  0.6632  3 B 2.51
Lu  0.0000  0.0000  0.8368  3 B 2.51
Lu  0.6667  0.3333  0.9445  6 B 2.61-2.65
Sn  0.3333  0.6667  0.2500  6 Lu 3.29, 6 Sn 3.49
Sn  0.6667  0.3333  0.7500  6 Lu 3.29, 6 Sn 3.49

Results
space group: No. 194
total energy: -5.2986 eV/atom


(9)
DFT (PBE) results for a geometry-optimized PuCoAu structure.

a = 4.3526 Å, b = 4.3526 Å, c = 4.3526 Å
α = 60.00°, β = 60.00°, γ = 60.00°
Last column: nearest neighbours and their distance in Å.
Atoms (fractional coordinates):
Au  0.2500  0.2500  0.2500  4 Co 2.67
Co  0.0000  0.0000  0.0000  4 Pu 2.67, 4 Au 2.67
Pu  0.7500  0.7500  0.7500  4 Co 2.67

Results
space group: No. 216
total energy: -8.2113 eV/atom
E_form: -45 meV per atom


(10)
DFT (PBE) results for a geometry-optimized SbPAuO structure.

a = 3.8566 Å, b = 5.0397 Å, c = 7.7112 Å
α = 90.00°, β = 90.00°, γ = 90.00°
Last column: nearest neighbours and their distance in Å.
Atoms (fractional coordinates):
Au  0.0000  0.9470  0.1323  2 P 2.34
Au  0.0000  0.0530  0.6323  2 P 2.34
O  0.5000  0.3054  0.2321  1 Sb 2.05
O  0.5000  0.6946  0.7321  1 Sb 2.05
P  0.0000  0.7463  0.4053  2 Au 2.34, 2 Sb 2.56
P  0.0000  0.2537  0.9053  2 Au 2.34, 2 Sb 2.56
Sb  0.5000  0.4356  0.4843  1 O 2.05
Sb  0.5000  0.5644  0.9843  1 O 2.05

Results
space group: No. 26
relative energy among the computed polymorphs: 0 meV per atom
total energy: -4.7012 eV/atom


(11)
DFT (PBE) results for a geometry-optimized BaAlHgAu structure.

a = 5.3126 Å, b = 5.3126 Å, c = 5.3126 Å
α = 60.00°, β = 60.00°, γ = 60.00°
Last column: nearest neighbours and their distance in Å.
Atoms (fractional coordinates):
Al  0.2500  0.2500  0.2500  4 Ba 3.25, 4 Hg 3.25
Au  0.7500  0.7500  0.7500  4 Hg 3.25, 4 Ba 3.25
Ba  0.5000  0.5000  0.5000  4 Al 3.25, 4 Au 3.25
Hg  0.0000  0.0000  0.0000  4 Al 3.25, 4 Au 3.25

Results
space group: No. 216
relative energy among the computed polymorphs: 117 meV per atom
total energy: -2.4403 eV/atom


(12)
DFT (PBE) results for a geometry-optimized YGePt2 structure.

a = 4.7176 Å, b = 4.7176 Å, c = 4.7176 Å
α = 60.00°, β = 60.00°, γ = 60.00°
Last column: nearest neighbours and their distance in Å.
Atoms (fractional coordinates):
Ge  0.5000  0.5000  0.5000  4 Y 2.89, 4 Pt 2.89
Pt  0.0000  0.0000  0.0000  4 Pt 2.89, 4 Y 2.89
Pt  0.7500  0.7500  0.7500  4 Ge 2.89, 4 Pt 2.89
Y  0.2500  0.2500  0.2500  4 Ge 2.89, 4 Pt 2.89

Results
space group: No. 216
total energy: -6.4143 eV/atom